Compound: AcDy2ThS4
Source: the Alexandria database
Functional: PBE-GGA
Structure: optimized geometry

```
AcDy2ThS4
1.0
-2.749 2.404 1.570
-3.898 -5.688 1.885
1.891 -1.984 6.351
S Dy Ac Th
4 2 1 1
Cartesian
-0.853 -1.594 5.980 S
-1.634 -5.870 6.129 S
-3.122 0.601 3.677 S
-3.903 -3.674 3.826 S
-0.429 0.210 3.961 Dy
1.891 -1.984 6.351 Dy
-3.324 -1.642 1.727 Ac
-1.003 -3.836 4.118 Th
```

Summary:
* space-group type: No. 10
* calculated density: 8.14 g cm⁻³
* E: -52.67 eV per cell
* total magnetic moment: 0.0 μB/cell
* N(E_F): 3.09 states/eV per cell

***

Compound: La5Pm6
Source: the Alexandria database
Functional: PBE-GGA
Structure: optimized geometry

```
La5Pm6
1.0
5.382 1.033 -1.773
2.916 8.389 -4.987
0.193 -0.515 9.648
La Pm
5 6
Cartesian
3.348 1.980 1.958 La
1.984 5.367 -0.213 La
1.125 2.507 4.874 La
5.144 6.927 0.930 La
4.149 4.711 -3.380 La
5.327 3.532 -0.484 Pm
3.869 7.889 -2.388 Pm
3.165 5.375 3.372 Pm
2.179 2.036 -1.550 Pm
6.119 7.386 -5.210 Pm
4.623 1.018 5.276 Pm
```

Summary:
* space-group type: No. 71
* calculated density: 6.54 g cm⁻³
* energy of formation from the pure elements: 100 meV/atom
* E: -52.04 eV per cell
* total magnetic moment: 0.0 μB/cell
* N(E_F): 17.13 states/eV per cell

***

Compound: Nd3Ga4Ag2
Source: the Alexandria database
Functional: PBE-GGA
Structure: optimized geometry

```
Nd3Ga4Ag2
1.0
-2.947 -3.552 -0.320
3.258 -0.142 5.007
-6.731 5.509 0.829
Nd Ga Ag
3 4 2
Cartesian
-5.304 1.203 2.043 Nd
-1.115 0.612 3.473 Nd
0.000 0.000 0.000 Nd
-4.047 -0.098 4.900 Ga
-1.119 -2.286 2.238 Ga
-5.301 4.101 3.277 Ga
-2.373 1.913 0.616 Ga
-3.489 2.492 4.458 Ag
-2.930 -0.677 1.058 Ag
```

Summary:
* space-group type: No. 12
* calculated density: 7.49 g cm⁻³
* energy of formation from the pure elements: -540 meV/atom
* E: -36.97 eV per cell
* total magnetic moment: 0.0 μB/cell
* N(E_F): 4.90 states/eV per cell

***

Compound: HfSn2Rh3
Source: the Alexandria database
Functional: PBE-GGA
Structure: optimized geometry

```
HfSn2Rh3
1.0
-6.854 -2.052 -0.876
6.676 -2.486 1.097
-0.956 0.361 6.638
Rh Sn Hf
6 4 2
Cartesian
-0.795 -2.003 5.014 Rh
3.618 -2.135 5.850 Rh
4.129 -2.328 2.303 Rh
-4.752 -2.043 1.009 Rh
-0.339 -2.175 1.845 Rh
-5.262 -1.850 4.556 Rh
1.729 -2.163 3.764 Sn
0.000 0.000 0.000 Sn
-0.478 0.180 3.319 Sn
-2.863 -2.015 3.095 Sn
2.099 -2.340 0.429 Hf
-2.277 -2.199 -0.208 Hf
```

Summary:
* space-group type: No. 65
* calculated density: 11.52 g cm⁻³
* energy of formation from the pure elements: -601 meV/atom
* E: -87.24 eV per cell
* total magnetic moment: 0.0 μB/cell
* N(E_F): 10.20 states/eV per cell

***

Compound: Ac2Tb3Au2
Source: the Alexandria database
Functional: PBE-GGA
Structure: optimized geometry

```
Ac2Tb3Au2
1.0
3.762 0.000 1.057
1.385 6.286 2.293
-0.504 -0.281 9.017
Tb Ac Au
3 2 2
Cartesian
2.305 4.846 6.241 Tb
1.881 0.000 0.529 Tb
2.338 1.159 6.126 Tb
3.469 2.889 9.321 Ac
1.174 3.117 3.046 Ac
3.157 0.428 3.210 Au
1.486 5.578 9.158 Au
```

Summary:
* space-group type: No. 12
* calculated density: 10.06 g cm⁻³
* energy of formation from the pure elements: -480 meV/atom
* E: -32.02 eV per cell
* total magnetic moment: 0.0 μB/cell
* N(E_F): 9.04 states/eV per cell

***

Compound: ZrTiNb2H8
Source: the Alexandria database
Functional: PBE-GGA
Structure: optimized geometry

```
ZrTiNb2H8
1.0
-1.085 -4.296 -1.076
2.754 0.213 -3.628
2.686 0.505 4.934
H Ti Nb Zr
8 1 2 1
Cartesian
1.607 -2.277 2.578 H
1.341 -1.379 -0.477 H
2.156 -0.102 3.123 H
3.590 0.009 1.234 H
2.171 -3.508 -2.874 H
3.041 -2.166 0.689 H
2.736 -1.271 -2.314 H
0.776 -3.616 -1.038 H
3.137 -0.662 -0.523 Ti
0.000 0.000 0.000 Nb
1.217 -2.916 0.753 Nb
0.834 -2.041 -2.352 Zr
```

Summary:
* space-group type: No. 119
* calculated density: 5.75 g cm⁻³
* E: -68.09 eV per cell
* total magnetic moment: 0.0 μB/cell
* N(E_F): 4.10 states/eV per cell

***

Compound: PAuSO2
Source: the Alexandria database
Functional: PBE-GGA
Structure: optimized geometry

```
PAuSO2
1.0
-1.913 -3.253 -0.609
3.246 -1.706 -1.081
1.004 -1.639 5.600
P S Au O
1 1 1 2
Cartesian
0.502 -0.820 2.800 P
1.169 -3.299 1.955 S
0.000 0.000 0.000 Au
1.623 -0.853 -0.541 O
-0.956 -1.627 -0.305 O
```

Summary:
* space-group type: No. 123
* calculated density: 5.60 g cm⁻³
* E: -18.83 eV per cell
* total magnetic moment: 1.6 μB/cell
* N(E_F): 3.43 states/eV per cell

***

Compound: NdTh2Hg
Source: the Alexandria database
Functional: PBE-GGA
Structure: optimized geometry

```
NdTh2Hg
1.0
3.589 0.000 0.000
0.000 3.589 0.000
0.000 0.000 9.655
Nd Th Hg
1 2 1
Cartesian
1.794 1.794 4.827 Nd
0.000 0.000 2.192 Th
0.000 0.000 7.463 Th
1.794 1.794 0.000 Hg
```

Summary:
* space-group type: No. 123
* calculated density: 10.80 g cm⁻³
* energy of formation from the pure elements: -27 meV/atom
* E: -20.02 eV per cell
* total magnetic moment: 0.0 μB/cell
* N(E_F): 4.20 states/eV per cell

***

Compound: HfZnCoMo2
Source: the Alexandria database
Functional: PBE-GGA
Structure: optimized geometry

```
HfZnCoMo2
1.0
4.795 0.000 0.000
0.000 4.522 0.000
0.000 0.000 4.795
Zn Co Mo Hf
1 1 2 1
Cartesian
2.397 2.261 2.397 Zn
0.000 2.261 0.000 Co
2.397 0.000 0.000 Mo
0.000 0.000 2.397 Mo
0.000 0.000 0.000 Hf
```

Summary:
* space-group type: No. 123
* calculated density: 7.90 g cm⁻³
* energy of formation from the pure elements: 1806 meV/atom
* E: -30.97 eV per cell
* total magnetic moment: 1.2 μB/cell
* N(E_F): 7.29 states/eV per cell

***

Compound: SrCa2Tc
Source: the Alexandria database
Functional: PBE-GGA
Structure: optimized geometry

```
SrCa2Tc
1.0
3.624 0.000 0.000
0.000 3.624 0.000
0.000 0.000 9.997
Tc Sr Ca
1 1 2
Cartesian
1.812 1.812 7.635 Tc
0.000 0.000 5.668 Sr
1.812 1.812 2.356 Ca
0.000 0.000 9.335 Ca
```

Summary:
* space-group type: No. 99
* calculated density: 3.36 g cm⁻³
* energy of formation from the pure elements: 532 meV/atom
* E: -13.92 eV per cell
* total magnetic moment: 1.7 μB/cell
* N(E_F): 4.91 states/eV per cell

***

Compound: CaErZnPb
Source: the Alexandria database
Functional: PBE-GGA
Structure: optimized geometry

```
CaErZnPb
1.0
-0.473 -5.260 -0.357
1.495 -3.072 4.042
-3.642 -2.532 2.888
Zn Ca Pb Er
1 1 1 1
Cartesian
0.000 0.000 0.000 Zn
-0.655 -2.716 1.643 Ca
-1.309 -5.432 3.287 Pb
-1.964 -8.147 4.930 Er
```

Summary:
* space-group type: No. 216
* calculated density: 7.60 g cm⁻³
* energy of formation from the pure elements: -348 meV/atom
* E: -12.94 eV per cell
* total magnetic moment: 0.0 μB/cell
* N(E_F): 3.37 states/eV per cell

***

Compound: Pm2MgBe3Pt4
Source: the Alexandria database
Functional: PBE-GGA
Structure: optimized geometry

```
Pm2MgBe3Pt4
1.0
4.065 0.000 0.000
0.000 4.065 0.000
0.000 0.000 10.311
Pt Be Pm Mg
4 3 2 1
Cartesian
2.033 0.000 6.745 Pt
2.033 2.033 0.000 Pt
0.000 2.033 3.566 Pt
0.000 0.000 0.000 Pt
2.033 0.000 9.137 Be
0.000 0.000 5.156 Be
0.000 2.033 1.174 Be
2.033 0.000 2.434 Pm
0.000 2.033 7.877 Pm
2.033 2.033 5.156 Mg
```

Summary:
* space-group type: No. 115
* calculated density: 10.93 g cm⁻³
* energy of formation from the pure elements: -856 meV/atom
* E: -55.00 eV per cell
* total magnetic moment: 0.0 μB/cell
* N(E_F): 2.81 states/eV per cell

***

- What is the formula in the eighth record?
  NdTh2Hg

***

- Look up the E of the third one.
  -36.97 eV per cell

***

- The lowest E belongs to which entry?
  HfSn2Rh3